Computed, not measured: a relaxed structure of KGaIN2 at the PBE-GGA level of DFT.

Lattice parameters (Å, degrees): 4.3396 4.3396 5.9479 90.00 90.00 90.00
Closest atoms and distances in Å follow each position.
Sites, in units of the cell vectors:
K (0.5000, 0.5000, 0.5000)  4 I 3.07
I (0.0000, 0.0000, 0.5000)  2 Ga 2.97, 4 K 3.07
N (0.0000, 0.5000, 0.0000)  2 Ga 2.17
N (0.5000, 0.0000, 0.0000)  2 Ga 2.17
Ga (0.0000, 0.0000, 0.0000)  4 N 2.17

**E_form (uncorrected)**: 841 meV/atom
**Relative energy among the computed polymorphs**: 0.0 meV per atom
**Magnetic moment**: 0.61 μB/atom
**Total energy**: -3.62 eV/atom
**Space group**: P4/mmm (123)